! K2SrGeAs PBE-GGA relaxed; values from VASP
&SYSTEM
  ibrav = 0, nat = 5, ntyp = 4
/
ATOMIC_SPECIES
K 39.10 K.upf
Sr 87.62 Sr.upf
Ge 72.64 Ge.upf
As 74.92 As.upf
CELL_PARAMETERS angstrom
6.298 0.000 0.000
0.000 6.298 0.000
0.000 0.000 5.971
ATOMIC_POSITIONS angstrom
K 0.000 3.149 0.000
K 3.149 0.000 0.000
Sr 0.000 0.000 2.985
Ge 3.149 3.149 2.985
As 0.000 0.000 0.000
! energy of formation: 0.020 eV/atom
! distance to the lowest polymorph of the same formula: 0.000 eV per atom
! SG: No. 123
! theoretical density: 2.2 g/cm³

---

! Tb4PmSm10 PBE-GGA relaxed; values from VASP
&SYSTEM
  ibrav = 0, nat = 15, ntyp = 3
/
ATOMIC_SPECIES
Tb 158.93 Tb.upf
Pm 145.00 Pm.upf
Sm 150.36 Sm.upf
CELL_PARAMETERS angstrom
-6.157 6.157 3.888
6.157 -6.157 3.888
6.157 6.157 -3.888
ATOMIC_POSITIONS angstrom
Tb 3.691 1.237 0.000
Tb 4.920 -2.465 3.888
Tb 1.237 8.622 0.000
Tb 2.465 4.920 3.888
Pm 0.000 0.000 3.888
Sm 4.927 3.679 -1.951
Sm 2.477 -1.229 1.937
Sm 6.157 0.000 1.944
Sm 3.679 7.386 -1.951
Sm 1.229 2.477 1.937
Sm 4.927 3.679 1.951
Sm 2.477 -1.229 5.839
Sm 0.000 6.157 1.944
Sm 3.679 7.386 1.951
Sm 1.229 2.477 5.839
! energy of formation: 0.716 eV/atom
! SG: No. 87
! theoretical density: 6.4 g/cm³

---

! CaCu6Ni2 PBE-GGA relaxed; values from VASP
&SYSTEM
  ibrav = 0, nat = 18, ntyp = 3
/
ATOMIC_SPECIES
Ca 40.08 Ca.upf
Cu 63.55 Cu.upf
Ni 58.69 Ni.upf
CELL_PARAMETERS angstrom
0.000 5.387 5.387
5.387 0.000 5.387
5.387 5.387 0.000
ATOMIC_POSITIONS angstrom
Ca 1.347 1.347 1.347
Ca 9.427 9.427 9.427
Cu 4.040 4.040 1.425
Cu 4.040 1.425 4.040
Cu 6.654 4.040 4.040
Cu 6.733 6.733 4.119
Cu 6.733 4.119 6.733
Cu 9.348 6.733 6.733
Cu 1.425 4.040 4.040
Cu 4.040 6.654 4.040
Cu 4.040 4.040 6.654
Cu 4.119 6.733 6.733
Cu 6.733 9.348 6.733
Cu 6.733 6.733 9.348
Ni 5.387 2.693 2.693
Ni 2.693 5.387 2.693
Ni 2.693 2.693 5.387
Ni 5.387 5.387 5.387
! energy of formation: 0.556 eV/atom
! SG: No. 227
! theoretical density: 5.7 g/cm³

---

! Ac2OsBr PBE-GGA relaxed; values from VASP
&SYSTEM
  ibrav = 0, nat = 4, ntyp = 3
/
ATOMIC_SPECIES
Ac 227.00 Ac.upf
Os 190.23 Os.upf
Br 79.90 Br.upf
CELL_PARAMETERS angstrom
3.664 0.000 0.000
0.000 3.664 0.000
0.000 0.000 8.705
ATOMIC_POSITIONS angstrom
Ac 0.000 0.000 1.818
Ac 0.000 0.000 6.886
Os 1.832 1.832 0.000
Br 1.832 1.832 4.352
! energy relative to the elements, uncorrected: -570.8 meV/atom
! distance to the lowest polymorph of the same formula: 0.114 eV per atom
! SG: No. 123
! theoretical density: 10.3 g/cm³

---

! K2LiLa PBE-GGA relaxed; values from VASP
&SYSTEM
  ibrav = 0, nat = 4, ntyp = 3
/
ATOMIC_SPECIES
K 39.10 K.upf
Li 6.94 Li.upf
La 138.91 La.upf
CELL_PARAMETERS angstrom
3.897 0.000 0.000
0.000 3.897 0.000
0.000 0.000 12.023
ATOMIC_POSITIONS angstrom
K 0.000 0.000 0.000
K 1.949 1.949 4.027
Li 1.949 1.949 9.498
La 0.000 0.000 7.481
! energy of formation: 0.249 eV/atom
! SG: No. 99
! theoretical density: 2.0 g/cm³

---

! PaNb2Se PBE-GGA relaxed; values from VASP
&SYSTEM
  ibrav = 0, nat = 4, ntyp = 3
/
ATOMIC_SPECIES
Pa 231.04 Pa.upf
Nb 92.91 Nb.upf
Se 78.96 Se.upf
CELL_PARAMETERS angstrom
1.565 0.903 9.630
-1.565 0.903 9.630
0.000 -1.807 9.630
ATOMIC_POSITIONS angstrom
Pa 0.000 0.000 0.000
Nb 0.000 0.000 2.834
Nb 0.000 0.000 26.055
Se 0.000 0.000 14.445
! energy relative to the elements, uncorrected: 191.1 meV/atom
! SG: No. 166
! theoretical density: 10.1 g/cm³

---

! Sm8DyHo3 PBE-GGA relaxed; values from VASP
&SYSTEM
  ibrav = 0, nat = 12, ntyp = 3
/
ATOMIC_SPECIES
Sm 150.36 Sm.upf
Dy 162.50 Dy.upf
Ho 164.93 Ho.upf
CELL_PARAMETERS angstrom
3.525 -5.663 0.000
3.525 5.663 0.000
-3.493 0.000 9.836
ATOMIC_POSITIONS angstrom
Sm 0.022 2.977 6.550
Sm 0.006 0.000 1.555
Sm 3.536 2.977 3.286
Sm 0.027 0.000 8.112
Sm 3.531 0.000 1.724
Sm 0.022 -2.977 6.550
Sm 3.552 0.000 8.281
Sm 3.536 -2.977 3.286
Dy -1.747 0.000 4.918
Ho 1.763 2.831 0.000
Ho 1.763 -2.831 0.000
Ho 1.779 0.000 4.918
! energy of formation: 0.063 eV/atom
! SG: No. 12
! theoretical density: 7.9 g/cm³

---

! CsK2NdCl6 PBE-GGA relaxed; values from VASP
&SYSTEM
  ibrav = 0, nat = 10, ntyp = 4
/
ATOMIC_SPECIES
Cs 132.91 Cs.upf
K 39.10 K.upf
Nd 144.24 Nd.upf
Cl 35.45 Cl.upf
CELL_PARAMETERS angstrom
3.968 2.291 7.015
-3.968 2.291 7.015
0.000 -4.582 7.015
ATOMIC_POSITIONS angstrom
Cs 0.000 0.000 0.000
K 0.000 0.000 5.890
K 0.000 0.000 16.711
Nd 0.000 0.000 10.173
Cl -2.104 -0.193 8.374
Cl -1.319 -1.980 11.570
Cl 1.219 -1.725 8.374
Cl -1.055 2.133 11.570
Cl 0.885 1.919 8.374
Cl 2.375 -0.152 11.570
! energy relative to the elements, uncorrected: -2121.6 meV/atom
! SG: No. 146
! theoretical density: 2.5 g/cm³

---

no.,V (Å³/cell)
1,237
2,589
3,313
4,117
5,183
6,82
7,393
8,383